# CdTc2Cl

An optimized crystal structure of CdTc2Cl (PBE-GGA, Alexandria via LeMat-Bulk).

Cell: 7.0271 7.0271 5.7057 Å, 51.99 51.99 90.00°
Closest atoms and distances in Å follow each position.
Fractional coordinates of all 8 atoms:
Cl  0.2500  0.7500  0.5000  4 Tc 2.25
Tc  0.8750  0.7979  0.7500  2 Cl 2.25
Cl  0.5000  0.5000  0.0000  4 Tc 2.25
Cd  0.0000  0.0000  0.0000  2 Cl 2.80, 8 Tc 2.98-3.00
Tc  0.2021  0.6250  0.2500  2 Cl 2.25
Tc  0.3750  0.4521  0.7500  2 Cl 2.25
Cd  0.7500  0.2500  0.5000  2 Cl 2.80, 8 Tc 2.98-3.00
Tc  0.5479  0.1250  0.2500  2 Cl 2.25

Values from the calculation:
As for the energy relative to the lowest polymorph listed for this composition: 997.4 meV per atom. The value obtained for the density is 8.2 g cm⁻³. As for the formation energy without anion corrections: 985 meV per atom. The value obtained for the magnetization is 0.4 μB/cell.